Er4Tl2C: relaxed, PBE-GGA.

Calculated values
ΔH_f (0 K) (meV per atom): -193
DOS(E_F) (states/eV per cell): 7.104
Total magnetization (μB/f.u.): 0.01

Cell lengths 6.3532, 3.6221, 8.1469 Å; angles 90.00, 104.54, 90.00 degrees
With the nearest neighbours (Å) after each atom.
Positions (direct):
Er 0.1396 0.0000 0.3134  1 C 2.48
Er 0.2372 0.5000 0.9792  2 C 2.39
Er 0.7628 0.5000 0.0208  2 C 2.39
Er 0.8604 0.0000 0.6866  1 C 2.48
Tl 0.3974 0.5000 0.6575  4 Er 3.04-3.39, 1 Tl 3.16
Tl 0.6026 0.5000 0.3425  4 Er 3.04-3.39, 1 Tl 3.16
C 0.0000 0.0000 0.0000  6 Er 2.39-2.48

=====

Er2TmTlC: relaxed, PBE-GGA.

Calculated values
ΔH_f (0 K) (meV per atom): -496
DOS(E_F) (states/eV per cell): 0.701
Total magnetization (μB/f.u.): 0.00

Cell lengths 4.8655, 4.8655, 4.8378 Å; angles 90.00, 90.00, 90.00 degrees
With the nearest neighbours (Å) after each atom.
Positions (direct):
Er 0.0000 0.5000 0.0000  2 C 2.43
Er 0.5000 0.0000 0.0000  2 C 2.43
Tm 0.0000 0.0000 0.5000  2 C 2.42
Tl 0.5000 0.5000 0.5000  8 Er 3.43, 4 Tm 3.44
C 0.0000 0.0000 0.0000  2 Tm 2.42, 4 Er 2.43

=====

Y2ErTlC: relaxed, PBE-GGA.

Calculated values
ΔH_f (0 K) (meV per atom): -491
DOS(E_F) (states/eV per cell): 0.857
Total magnetization (μB/f.u.): 0.00

Cell lengths 4.9277, 4.9277, 4.8760 Å; angles 90.00, 90.00, 90.00 degrees
With the nearest neighbours (Å) after each atom.
Positions (direct):
Y 0.0000 0.5000 0.0000  2 C 2.46
Y 0.5000 0.0000 0.0000  2 C 2.46
Er 0.0000 0.0000 0.5000  2 C 2.44
Tl 0.5000 0.5000 0.5000  8 Y 3.47, 4 Er 3.48
C 0.0000 0.0000 0.0000  2 Er 2.44, 4 Y 2.46

=====

ErTm12C7: relaxed, PBE-GGA.

Calculated values
ΔH_f (0 K) (meV per atom): -306
DOS(E_F) (states/eV per cell): 15.191
Total magnetization (μB/f.u.): 0.02

Cell lengths 7.9768, 7.9768, 7.9768 Å; angles 107.66, 107.66, 107.66 degrees
With the nearest neighbours (Å) after each atom.
Positions (direct):
Er 0.0000 0.0000 0.0000  6 C 2.58
Tm 0.0704 0.2144 0.6909  3 C 2.38-2.53
Tm 0.1592 0.4432 0.3743  3 C 2.42-2.43
Tm 0.2144 0.6909 0.0704  3 C 2.38-2.53
Tm 0.3091 0.9296 0.7856  3 C 2.38-2.53
Tm 0.3743 0.1592 0.4432  3 C 2.42-2.43
Tm 0.4432 0.3743 0.1592  3 C 2.42-2.43
Tm 0.5568 0.6257 0.8408  3 C 2.42-2.43
Tm 0.6257 0.8408 0.5568  3 C 2.42-2.43
Tm 0.6909 0.0704 0.2144  3 C 2.38-2.53
Tm 0.7856 0.3091 0.9296  3 C 2.38-2.53
Tm 0.8408 0.5568 0.6257  3 C 2.42-2.43
Tm 0.9296 0.7856 0.3091  3 C 2.38-2.53
C 0.0405 0.1164 0.3545  5 Tm 2.38-2.53, 1 Er 2.58
C 0.1164 0.3545 0.0405  5 Tm 2.38-2.53, 1 Er 2.58
C 0.3545 0.0405 0.1164  5 Tm 2.38-2.53, 1 Er 2.58
C 0.5000 0.5000 0.5000  6 Tm 2.43
C 0.6455 0.9595 0.8836  5 Tm 2.38-2.53, 1 Er 2.58
C 0.8836 0.6455 0.9595  5 Tm 2.38-2.53, 1 Er 2.58
C 0.9595 0.8836 0.6455  5 Tm 2.38-2.53, 1 Er 2.58

=====

Er3TmC8: relaxed, PBE-GGA.

Calculated values
ΔH_f (0 K) (meV per atom): -193
DOS(E_F) (states/eV per cell): 3.773
Total magnetization (μB/f.u.): 0.00

Cell lengths 6.5018, 6.5018, 6.5018 Å; angles 133.86, 123.62, 75.73 degrees
With the nearest neighbours (Å) after each atom.
Positions (direct):
Er 0.0000 0.0000 0.0000  10 C 2.42-2.66
Er 0.2503 0.7503 0.5000  10 C 2.42-2.65
Er 0.7497 0.2497 0.5000  10 C 2.42-2.65
Tm 0.5000 0.5000 0.0000  10 C 2.42-2.64
C 0.1063 0.5000 0.6063  1 C 1.31
C 0.1448 0.2508 0.8940  1 C 1.30
C 0.3568 0.2508 0.1060  1 C 1.30
C 0.3935 0.0000 0.3935  1 C 1.31
C 0.6065 0.0000 0.6065  1 C 1.31
C 0.6432 0.7492 0.8940  1 C 1.30
C 0.8552 0.7492 0.1060  1 C 1.30
C 0.8937 0.5000 0.3937  1 C 1.31

=====

ErTm3C: relaxed, PBE-GGA.

Calculated values
ΔH_f (0 K) (meV per atom): -45
DOS(E_F) (states/eV per cell): 5.577
Total magnetization (μB/f.u.): 0.00

Cell lengths 4.9651, 4.9651, 4.9651 Å; angles 90.00, 90.00, 90.00 degrees
With the nearest neighbours (Å) after each atom.
Positions (direct):
Er 0.0000 0.0000 0.0000  12 Tm 3.51
Tm 0.0000 0.5000 0.5000  2 C 2.48
Tm 0.5000 0.0000 0.5000  2 C 2.48
Tm 0.5000 0.5000 0.0000  2 C 2.48
C 0.5000 0.5000 0.5000  6 Tm 2.48

=====

Er2Tm4C: relaxed, PBE-GGA.

Calculated values
ΔH_f (0 K) (meV per atom): 127
DOS(E_F) (states/eV per cell): 10.418
Total magnetization (μB/f.u.): 0.00

Cell lengths 9.4464, 9.4464, 9.4464 Å; angles 150.85, 150.85, 41.70 degrees
With the nearest neighbours (Å) after each atom.
Positions (direct):
Er 0.1734 0.1734 0.0000  5 Tm 3.41-3.43
Er 0.8266 0.8266 0.0000  5 Tm 3.41-3.43
Tm 0.0000 0.5000 0.5000  2 C 2.38
Tm 0.3666 0.3666 0.0000  1 C 2.36
Tm 0.5000 0.0000 0.5000  2 C 2.38
Tm 0.6334 0.6334 0.0000  1 C 2.36
C 0.5000 0.5000 0.0000  6 Tm 2.36-2.38

=====

Er2TmC2: relaxed, PBE-GGA.

Calculated values
ΔH_f (0 K) (meV per atom): -271
DOS(E_F) (states/eV per cell): 4.021
Total magnetization (μB/f.u.): 0.87

Cell lengths 6.2114, 6.2114, 7.2197 Å; angles 108.09, 108.09, 47.71 degrees
With the nearest neighbours (Å) after each atom.
Positions (direct):
Er 0.0073 0.0073 0.2291  4 C 2.37-2.53
Er 0.3375 0.3375 0.9314  5 C 2.49-2.64
Er 0.6625 0.6625 0.0686  5 C 2.49-2.64
Er 0.9927 0.9927 0.7709  4 C 2.37-2.53
Tm 0.3453 0.3453 0.4037  3 C 2.34-2.46
Tm 0.6547 0.6547 0.5963  3 C 2.34-2.46
C 0.1688 0.1688 0.0898  5 Er 2.37-2.54, 1 Tm 2.46
C 0.4967 0.4967 0.7369  2 Tm 2.34-2.44, 3 Er 2.49-2.53
C 0.5033 0.5033 0.2631  2 Tm 2.34-2.44, 3 Er 2.49-2.53
C 0.8312 0.8312 0.9102  5 Er 2.37-2.54, 1 Tm 2.46

=====

ErTm2C: relaxed, PBE-GGA.

Calculated values
ΔH_f (0 K) (meV per atom): -105
DOS(E_F) (states/eV per cell): 4.411
Total magnetization (μB/f.u.): 0.70

Cell lengths 9.6687, 9.6687, 9.6687 Å; angles 20.78, 20.78, 20.78 degrees
With the nearest neighbours (Å) after each atom.
Positions (direct):
Er 0.0000 0.0000 0.0000  2 Tm 3.41, 6 Er 3.49
Tm 0.1202 0.1202 0.1202  3 C 2.41
Tm 0.8798 0.8798 0.8798  3 C 2.41
C 0.5000 0.5000 0.5000  6 Tm 2.41

=====

ErTm2UC4: relaxed, PBE-GGA.

Calculated values
ΔH_f (0 K) (meV per atom): -274
DOS(E_F) (states/eV per cell): 8.413
Total magnetization (μB/f.u.): 0.00

Cell lengths 6.0907, 3.5459, 6.0986 Å; angles 90.00, 110.04, 90.00 degrees
With the nearest neighbours (Å) after each atom.
Positions (direct):
Er 0.0000 0.0000 0.0000  6 C 2.50-2.51
Tm 0.5000 0.0000 0.5000  6 C 2.49-2.50
Tm 0.5000 0.5000 0.0000  6 C 2.61-2.63
U 0.0000 0.5000 0.5000  6 C 2.37
C 0.2266 0.0000 0.7257  2 U 2.37, 3 Tm 2.50-2.61, 1 Er 2.51
C 0.2380 0.5000 0.2639  1 U 2.37, 3 Tm 2.49-2.63, 2 Er 2.50
C 0.7620 0.5000 0.7361  1 U 2.37, 3 Tm 2.49-2.63, 2 Er 2.50
C 0.7734 0.0000 0.2743  2 U 2.37, 3 Tm 2.50-2.61, 1 Er 2.51

=====

Er2UC3: relaxed, PBE-GGA.

Calculated values
ΔH_f (0 K) (meV per atom): -333
DOS(E_F) (states/eV per cell): 2.198
Total magnetization (μB/f.u.): 0.00

Cell lengths 6.1615, 6.1615, 6.0902 Å; angles 99.70, 99.70, 120.00 degrees
With the nearest neighbours (Å) after each atom.
Positions (direct):
Er 0.0000 0.0000 0.0000  6 C 2.54-2.55
Er 0.1654 0.8346 0.5000  6 C 2.50-2.65
Er 0.5000 0.5000 0.5000  6 C 2.47-2.65
Er 0.8346 0.1654 0.5000  6 C 2.50-2.65
U 0.3329 0.6671 0.0000  6 C 2.36-2.39
U 0.6671 0.3329 0.0000  6 C 2.36-2.39
C 0.0744 0.4298 0.2236  2 U 2.36-2.37, 2 Er 2.50-2.54
C 0.2774 0.2774 0.7706  2 U 2.39, 4 Er 2.47-2.62
C 0.4298 0.0744 0.2236  2 U 2.36-2.37, 2 Er 2.50-2.54
C 0.5702 0.9256 0.7764  2 U 2.36-2.37, 2 Er 2.50-2.54
C 0.7226 0.7226 0.2294  2 U 2.39, 4 Er 2.47-2.62
C 0.9256 0.5702 0.7764  2 U 2.36-2.37, 2 Er 2.50-2.54

=====

ErU2C3: relaxed, PBE-GGA.

Calculated values
ΔE to the lowest computed polymorph (kcal/mol of atoms): 3.938
ΔH_f (0 K) (meV per atom): -54
DOS(E_F) (states/eV per cell): 13.971
Total magnetization (μB/f.u.): 0.00

Cell lengths 6.1002, 3.2676, 9.0320 Å; angles 90.00, 90.00, 90.00 degrees
With the nearest neighbours (Å) after each atom.
Positions (direct):
Er 0.2500 0.0000 0.0722  4 C 2.49
Er 0.7500 0.0000 0.9278  4 C 2.49
U 0.2500 0.0000 0.7173  6 C 2.37-2.49
U 0.2500 0.5000 0.3914  6 C 2.41-2.44
U 0.7500 0.0000 0.2827  6 C 2.37-2.49
U 0.7500 0.5000 0.6086  6 C 2.41-2.44
C 0.0000 0.0000 0.5000  6 U 2.44-2.49
C 0.0057 0.5000 0.8120  3 U 2.37-2.41, 2 Er 2.49
C 0.4943 0.5000 0.8120  3 U 2.37-2.41, 2 Er 2.49
C 0.5000 0.0000 0.5000  6 U 2.44-2.49
C 0.5057 0.5000 0.1880  3 U 2.37-2.41, 2 Er 2.49
C 0.9943 0.5000 0.1880  3 U 2.37-2.41, 2 Er 2.49

=====

Er4UC4: relaxed, PBE-GGA.

Calculated values
ΔH_f (0 K) (meV per atom): -325
DOS(E_F) (states/eV per cell): 3.963
Total magnetization (μB/f.u.): 0.30

Cell lengths 6.1490, 6.1490, 8.6927 Å; angles 118.34, 118.34, 33.83 degrees
With the nearest neighbours (Å) after each atom.
Positions (direct):
Er 0.1093 0.1093 0.3935  4 C 2.43-2.59
Er 0.2971 0.2971 0.1942  5 C 2.46-2.66
Er 0.7029 0.7029 0.8058  5 C 2.46-2.66
Er 0.8907 0.8907 0.6065  4 C 2.43-2.59
U 0.5000 0.5000 0.0000  6 C 2.39-2.40
C 0.0891 0.0891 0.9115  2 U 2.39, 4 Er 2.46-2.66
C 0.3074 0.3074 0.7124  1 U 2.40, 5 Er 2.43-2.59
C 0.6926 0.6926 0.2876  1 U 2.40, 5 Er 2.43-2.59
C 0.9109 0.9109 0.0885  2 U 2.39, 4 Er 2.46-2.66

=====

ErU3C4: relaxed, PBE-GGA.

Calculated values
ΔH_f (0 K) (meV per atom): -186
DOS(E_F) (states/eV per cell): 11.318
Total magnetization (μB/f.u.): 1.94

Cell lengths 6.0868, 6.0868, 3.5228 Å; angles 90.00, 90.00, 110.26 degrees
With the nearest neighbours (Å) after each atom.
Positions (direct):
Er 0.0000 0.0000 0.0000  6 C 2.56-2.57
U 0.0000 0.5000 0.5000  6 C 2.48-2.50
U 0.5000 0.0000 0.5000  6 C 2.48-2.50
U 0.5000 0.5000 0.0000  6 C 2.39-2.44
C 0.2561 0.7439 0.0000  5 U 2.44-2.48, 1 Er 2.56
C 0.2688 0.2688 0.5000  4 U 2.39-2.50, 2 Er 2.57
C 0.7312 0.7312 0.5000  4 U 2.39-2.50, 2 Er 2.57
C 0.7439 0.2561 0.0000  5 U 2.44-2.48, 1 Er 2.56

=====

Er2UC: relaxed, PBE-GGA.

Calculated values
ΔH_f (0 K) (meV per atom): 214
DOS(E_F) (states/eV per cell): 6.712
Total magnetization (μB/f.u.): 2.61

Cell lengths 9.7819, 9.7819, 9.7819 Å; angles 19.73, 19.73, 19.73 degrees
With the nearest neighbours (Å) after each atom.
Positions (direct):
Er 0.1191 0.1191 0.1191  3 C 2.37
Er 0.8809 0.8809 0.8809  3 C 2.37
U 0.0000 0.0000 0.0000  6 U 3.35, 2 Er 3.43
C 0.5000 0.5000 0.5000  6 Er 2.37

=====

Er3U2C4: relaxed, PBE-GGA.

Calculated values
ΔH_f (0 K) (meV per atom): -204
DOS(E_F) (states/eV per cell): 6.655
Total magnetization (μB/f.u.): 0.78

Cell lengths 6.1207, 6.1207, 9.3563 Å; angles 125.42, 125.42, 34.66 degrees
With the nearest neighbours (Å) after each atom.
Positions (direct):
Er 0.0000 0.0000 0.0000  6 C 2.42-2.60
Er 0.3694 0.3694 0.1963  5 C 2.48-2.61
Er 0.6306 0.6306 0.8037  5 C 2.48-2.61
U 0.2746 0.2746 0.6148  4 C 2.27-2.43
U 0.7254 0.7254 0.3852  4 C 2.27-2.43
C 0.0658 0.0658 0.3000  3 U 2.37-2.43, 3 Er 2.42-2.61
C 0.3020 0.3020 0.8762  1 U 2.27, 2 Er 2.48
C 0.6980 0.6980 0.1238  1 U 2.27, 2 Er 2.48
C 0.9342 0.9342 0.7000  3 U 2.37-2.43, 3 Er 2.42-2.61

=====

Er2U2C3: relaxed, PBE-GGA.

Calculated values
ΔH_f (0 K) (meV per atom): -168
DOS(E_F) (states/eV per cell): 8.904
Total magnetization (μB/f.u.): 1.33

Cell lengths 6.0850, 6.0850, 6.0692 Å; angles 99.11, 99.11, 33.41 degrees
With the nearest neighbours (Å) after each atom.
Positions (direct):
Er 0.1319 0.1319 0.3727  4 C 2.52-2.59
Er 0.8681 0.8681 0.6273  4 C 2.52-2.59
U 0.3766 0.3766 0.1198  5 C 2.37-2.45
U 0.6234 0.6234 0.8802  5 C 2.37-2.45
C 0.0000 0.0000 0.0000  4 U 2.45, 2 Er 2.52
C 0.2445 0.2445 0.7779  3 U 2.37-2.39, 3 Er 2.53-2.59
C 0.7555 0.7555 0.2221  3 U 2.37-2.39, 3 Er 2.53-2.59

=====

ErU2C3: relaxed, PBE-GGA.

Calculated values
ΔE to the lowest computed polymorph (kcal/mol of atoms): 0.000
ΔH_f (0 K) (meV per atom): -224
DOS(E_F) (states/eV per cell): 7.054
Total magnetization (μB/f.u.): 0.00

Cell lengths 6.0229, 6.0229, 6.0229 Å; angles 145.94, 130.77, 61.22 degrees
With the nearest neighbours (Å) after each atom.
Positions (direct):
Er 0.0000 0.0000 0.0000  6 C 2.51-2.59
U 0.3354 0.3354 0.0000  6 C 2.37-2.52
U 0.6646 0.6646 0.0000  6 C 2.37-2.52
C 0.1827 0.6827 0.5000  4 U 2.37-2.52, 2 Er 2.59
C 0.5000 0.0000 0.5000  4 U 2.45, 2 Er 2.51
C 0.8173 0.3173 0.5000  4 U 2.37-2.52, 2 Er 2.59

=====

Er3UC4: relaxed, PBE-GGA.

Calculated values
ΔH_f (0 K) (meV per atom): -259
DOS(E_F) (states/eV per cell): 8.196
Total magnetization (μB/f.u.): 0.00

Cell lengths 6.1151, 6.1151, 3.5554 Å; angles 90.00, 90.00, 110.00 degrees
With the nearest neighbours (Å) after each atom.
Positions (direct):
Er 0.0000 0.0000 0.0000  6 C 2.62-2.64
Er 0.0000 0.5000 0.5000  6 C 2.50-2.51
Er 0.5000 0.0000 0.5000  6 C 2.50-2.51
U 0.5000 0.5000 0.0000  6 C 2.37-2.38
C 0.2639 0.7361 0.0000  1 U 2.37, 5 Er 2.50-2.64
C 0.2750 0.2750 0.5000  2 U 2.38, 4 Er 2.51-2.62
C 0.7250 0.7250 0.5000  2 U 2.38, 4 Er 2.51-2.62
C 0.7361 0.2639 0.0000  1 U 2.37, 5 Er 2.50-2.64

=====

Er2VC: relaxed, PBE-GGA.

Calculated values
ΔH_f (0 K) (meV per atom): 363
DOS(E_F) (states/eV per cell): 4.617
Total magnetization (μB/f.u.): 2.90

Cell lengths 8.9049, 8.9049, 8.9049 Å; angles 22.11, 22.11, 22.11 degrees
With the nearest neighbours (Å) after each atom.
Positions (direct):
Er 0.1147 0.1147 0.1147  3 C 2.39
Er 0.8853 0.8853 0.8853  3 C 2.39
V 0.0000 0.0000 0.0000  2 Er 2.99
C 0.5000 0.5000 0.5000  6 Er 2.39